#1
Computed, not measured: a relaxed structure of AlVPb2 at the PBE-GGA level of DFT.

Properties
Total magnetization = 3.55 μB/f.u.
SG = Fm-3m, No. 225
Calculated volume = 23.437 A^3/atom

Cell: 5.0991 5.0991 5.0991 Å, 60.00 60.00 60.00°
Last column: nearest neighbours and their distance in Å.
Positions (direct):
Al  0.0000  0.0000  0.0000  8 Pb 3.12
V  0.5000  0.5000  0.5000  8 Pb 3.12
Pb  0.2500  0.2500  0.2500  4 Al 3.12, 4 V 3.12
Pb  0.7500  0.7500  0.7500  4 Al 3.12, 4 V 3.12

#2
Computed, not measured: a relaxed structure of AlVPb2 at the PBE-GGA level of DFT.

Properties
Total magnetization = 0.00 μB/f.u.
SG = I-42d, No. 122
Calculated volume = 31.708 A^3/atom

Cell: 7.6834 7.6834 7.6834 Å, 130.87 130.87 72.02°
Last column: nearest neighbours and their distance in Å.
Positions (direct):
Al  0.0000  0.0000  0.0000  4 Pb 2.81
Al  0.7500  0.2500  0.5000  4 Pb 2.81
V  0.2500  0.7500  0.5000  4 Pb 2.68
V  0.5000  0.5000  0.0000  4 Pb 2.68
Pb  0.1433  0.6250  0.0183  2 V 2.68, 2 Al 2.81
Pb  0.3750  0.3933  0.5183  2 V 2.68, 2 Al 2.81
Pb  0.6067  0.1250  0.9817  2 V 2.68, 2 Al 2.81
Pb  0.8750  0.8567  0.4817  2 V 2.68, 2 Al 2.81

Which of them is least stable? Easy: #2.

#1
Computed, not measured: a relaxed structure of AlVPb3 at the PBE-GGA level of DFT.

Properties
Total magnetization = 3.82 μB/f.u.
SG = Pm-3m, No. 221
Calculated volume = 31.309 A^3/atom

Cell: 5.3895 5.3895 5.3895 Å, 90.00 90.00 90.00°
Last column: nearest neighbours and their distance in Å.
Positions (direct):
Al  0.0000  0.0000  0.0000  6 Pb 2.69
V  0.5000  0.5000  0.5000  12 Pb 3.81
Pb  0.0000  0.0000  0.5000  2 Al 2.69
Pb  0.0000  0.5000  0.0000  2 Al 2.69
Pb  0.5000  0.0000  0.0000  2 Al 2.69

#2
Computed, not measured: a relaxed structure of AlVPb3 at the PBE-GGA level of DFT.

Properties
Total magnetization = 0.48 μB/f.u.
SG = Pm-3m, No. 221
Calculated volume = 29.856 A^3/atom

Cell: 5.3048 5.3048 5.3048 Å, 90.00 90.00 90.00°
Last column: nearest neighbours and their distance in Å.
Positions (direct):
Al  0.0000  0.0000  0.0000  12 Pb 3.75
V  0.5000  0.5000  0.5000  6 Pb 2.65
Pb  0.0000  0.5000  0.5000  2 V 2.65
Pb  0.5000  0.0000  0.5000  2 V 2.65
Pb  0.5000  0.5000  0.0000  2 V 2.65

Which of them is least stable? Easy: #1.